YSiAsBr2: relaxed, PBE.

Geometry as POSCAR:
```
YSiAsBr2
1.0
-1.416 4.994 -1.418
-4.443 -0.406 3.008
2.900 2.120 4.569
Si Br Y As
1 2 1 1
Cartesian
-1.479 3.354 3.080
-0.708 2.497 -0.709
-2.221 -0.203 1.504
0.000 0.000 0.000
1.450 1.060 2.285
```

Summary:
For the energy, the calculation gives -0.1501 Ha/atom. The formation energy from raw total energies comes out at -0.107 eV per atom. Its polymorph energy (0 for the lowest one) is 0.061 eV/atom. The space-group type is P4/mmm.